The following is a PBEsol calculation of a relaxed PrAsS crystal, from the Alexandria database.

D(E_F) = 0.05 states/eV/atom
E_form (uncorrected) = -4.594 eV/f.u.
spin magnetization = 0.00 μB per formula unit

Cell lengths 3.8546, 7.1996, 9.7004 Å; angles 90.00, 90.00, 90.00 degrees
With the nearest neighbours (Å) after each atom.
Positions (direct):
As  0.2500  0.0982  0.9587  2 As 2.52
S  0.7500  0.4011  0.8402  5 Pr 2.88-3.15, 2 As 3.13
As  0.7500  0.9018  0.0413  2 As 2.52
S  0.7500  0.9011  0.6598  5 Pr 2.88-3.15, 2 As 3.13
Pr  0.2500  0.6984  0.8435  5 S 2.88-3.15, 4 As 3.02-3.09
Pr  0.7500  0.3016  0.1565  5 S 2.88-3.15, 4 As 3.02-3.09
Pr  0.2500  0.1984  0.6565  5 S 2.88-3.15, 4 As 3.02-3.09
S  0.2500  0.5989  0.1598  5 Pr 2.88-3.15, 2 As 3.13
S  0.2500  0.0989  0.3402  5 Pr 2.88-3.15, 2 As 3.13
As  0.2500  0.5982  0.5413  2 As 2.52
As  0.7500  0.4018  0.4587  2 As 2.52
Pr  0.7500  0.8016  0.3435  5 S 2.88-3.15, 4 As 3.02-3.09

***

The following is a PBEsol calculation of a relaxed PrAsSe crystal, from the Alexandria database.

D(E_F) = 0.04 states/eV/atom
E_form (uncorrected) = -4.413 eV/f.u.
spin magnetization = 0.00 μB per formula unit

Cell lengths 3.9456, 7.3937, 9.8241 Å; angles 90.00, 90.00, 90.00 degrees
With the nearest neighbours (Å) after each atom.
Positions (direct):
Se  0.2500  0.5969  0.1546  5 Pr 3.00-3.17, 2 As 3.21
Pr  0.7500  0.2911  0.1573  5 Se 3.00-3.17, 4 As 3.09-3.12
Pr  0.7500  0.7911  0.3427  5 Se 3.00-3.17, 4 As 3.09-3.12
As  0.7500  0.9037  0.0403  2 As 2.56
Se  0.7500  0.4031  0.8454  5 Pr 3.00-3.17, 2 As 3.21
Pr  0.2500  0.7089  0.8427  5 Se 3.00-3.17, 4 As 3.09-3.12
As  0.2500  0.5963  0.5403  2 As 2.56
Se  0.2500  0.0969  0.3454  5 Pr 3.00-3.17, 2 As 3.21
Pr  0.2500  0.2089  0.6573  5 Se 3.00-3.17, 4 As 3.09-3.12
Se  0.7500  0.9031  0.6546  5 Pr 3.00-3.17, 2 As 3.21
As  0.2500  0.0963  0.9597  2 As 2.56
As  0.7500  0.4037  0.4597  2 As 2.56

***

The following is a PBEsol calculation of a relaxed PrAsSe crystal, from the Alexandria database.

D(E_F) = 0.28 states/eV/atom
E_form (uncorrected) = -4.409 eV/f.u.
spin magnetization = 0.00 μB per formula unit

Cell lengths 3.9850, 3.9850, 8.9508 Å; angles 90.00, 90.00, 90.00 degrees
With the nearest neighbours (Å) after each atom.
Positions (direct):
Pr  0.5000  0.0000  0.7232  5 Se 2.95-3.11, 4 As 3.18
As  0.0000  0.0000  0.0000  4 As 2.82
Se  0.5000  0.0000  0.3756  5 Pr 2.95-3.11
Pr  0.0000  0.5000  0.2768  5 Se 2.95-3.11, 4 As 3.18
As  0.5000  0.5000  0.0000  4 As 2.82
Se  0.0000  0.5000  0.6244  5 Pr 2.95-3.11

***

The following is a PBEsol calculation of a relaxed Pr2ZnAs4 crystal, from the Alexandria database.

D(E_F) = 0.39 states/eV/atom
formation enthalpy at 0 K = -0.898 eV/atom
spin magnetization = 0.00 μB per formula unit

Cell lengths 3.9554, 3.9554, 10.0503 Å; angles 90.00, 90.00, 90.00 degrees
With the nearest neighbours (Å) after each atom.
Positions (direct):
Zn  0.5000  0.5000  0.0000  4 As 2.48
As  0.5000  0.5000  0.5000  4 As 2.80, 4 Pr 3.13
As  0.0000  0.0000  0.5000  4 As 2.80, 4 Pr 3.13
As  0.5000  0.0000  0.1489  2 Zn 2.48
As  0.0000  0.5000  0.8511  2 Zn 2.48
Pr  0.5000  0.0000  0.7415  8 As 3.01-3.13, 2 Zn 3.26
Pr  0.0000  0.5000  0.2585  8 As 3.01-3.13, 2 Zn 3.26

***

The following is a PBEsol calculation of a relaxed As3Pt crystal, from the Alexandria database.

D(E_F) = 0.46 states/eV/atom
formation enthalpy at 0 K = -0.087 eV/atom
distance to the lowest polymorph of the same formula = 0.000 eV per atom
spin magnetization = 0.00 μB per formula unit

Cell lengths 3.6790, 3.6790, 6.5391 Å; angles 73.66, 73.66, 60.00 degrees
With the nearest neighbours (Å) after each atom.
Positions (direct):
As  0.5000  0.5000  0.5000  6 As 2.70
As  0.7439  0.7439  0.7684  3 Pt 2.56, 3 As 2.70
Pt  0.0000  0.0000  0.0000  6 As 2.56
As  0.2561  0.2561  0.2316  3 Pt 2.56, 3 As 2.70

***

The following is a PBEsol calculation of a relaxed As3Pt crystal, from the Alexandria database.

D(E_F) = 0.47 states/eV/atom
formation enthalpy at 0 K = 0.147 eV/atom
distance to the lowest polymorph of the same formula = 0.234 eV per atom
spin magnetization = 0.00 μB per formula unit

Cell lengths 2.8743, 3.3877, 7.2074 Å; angles 90.00, 90.00, 90.00 degrees
With the nearest neighbours (Å) after each atom.
Positions (direct):
Pt  0.0000  0.0000  0.0000  8 As 2.73, 2 Pt 2.87
As  0.5000  0.5000  0.7797  4 Pt 2.73, 6 As 2.87-3.00
As  0.5000  0.5000  0.2203  4 Pt 2.73, 6 As 2.87-3.00
As  0.0000  0.0000  0.5000  10 As 2.87-3.00

***

The following is a PBEsol calculation of a relaxed AsPt2 crystal, from the Alexandria database.

D(E_F) = 0.36 states/eV/atom
formation enthalpy at 0 K = -0.229 eV/atom
spin magnetization = 0.00 μB per formula unit

Cell lengths 3.5968, 3.5968, 8.9925 Å; angles 90.00, 90.00, 120.00 degrees
With the nearest neighbours (Å) after each atom.
Positions (direct):
Pt  0.3333  0.6667  0.9030  3 As 2.49, 4 Pt 2.71-2.75
Pt  0.3333  0.6667  0.5970  3 As 2.49, 4 Pt 2.71-2.75
As  0.0000  0.0000  0.2500  6 Pt 2.49
Pt  0.6667  0.3333  0.4030  3 As 2.49, 4 Pt 2.71-2.75
Pt  0.6667  0.3333  0.0970  3 As 2.49, 4 Pt 2.71-2.75
As  0.0000  0.0000  0.7500  6 Pt 2.49

***

The following is a PBEsol calculation of a relaxed AsPt2 crystal, from the Alexandria database.

D(E_F) = 0.47 states/eV/atom
formation enthalpy at 0 K = -0.155 eV/atom
spin magnetization = 0.00 μB per formula unit

Cell lengths 4.8242, 5.6065, 7.2737 Å; angles 90.00, 90.00, 90.00 degrees
With the nearest neighbours (Å) after each atom.
Positions (direct):
Pt  0.2500  0.4090  0.7941  3 As 2.53-2.54, 2 Pt 2.75-2.81
Pt  0.7500  0.9467  0.9331  2 As 2.40-2.46, 2 Pt 2.67
As  0.7500  0.3731  0.9006  5 Pt 2.40-2.54
Pt  0.7500  0.0910  0.2941  3 As 2.53-2.54, 2 Pt 2.75-2.81
As  0.7500  0.8731  0.5994  5 Pt 2.40-2.54
Pt  0.7500  0.5910  0.2059  3 As 2.53-2.54, 2 Pt 2.75-2.81
Pt  0.2500  0.5533  0.4331  2 As 2.40-2.46, 2 Pt 2.67
Pt  0.7500  0.4467  0.5669  2 As 2.40-2.46, 2 Pt 2.67
Pt  0.2500  0.0533  0.0669  2 As 2.40-2.46, 2 Pt 2.67
Pt  0.2500  0.9090  0.7059  3 As 2.53-2.54, 2 Pt 2.75-2.81
As  0.2500  0.1269  0.4006  5 Pt 2.40-2.54
As  0.2500  0.6269  0.0994  5 Pt 2.40-2.54

***

The following is a PBEsol calculation of a relaxed AsPt2 crystal, from the Alexandria database.

D(E_F) = 0.51 states/eV/atom
formation enthalpy at 0 K = 0.024 eV/atom
spin magnetization = 0.00 μB per formula unit

Cell lengths 3.1400, 3.1400, 10.2402 Å; angles 98.82, 98.82, 90.00 degrees
With the nearest neighbours (Å) after each atom.
Positions (direct):
Pt  0.8206  0.3206  0.6413  4 As 2.63, 3 Pt 2.68-2.82
As  0.0000  0.0000  0.0000  8 Pt 2.63
Pt  0.4294  0.4294  0.8587  4 As 2.63, 3 Pt 2.68-2.82
Pt  0.5706  0.5706  0.1413  4 As 2.63, 3 Pt 2.68-2.82
Pt  0.6794  0.1794  0.3587  4 As 2.63, 3 Pt 2.68-2.82
As  0.2500  0.7500  0.5000  8 Pt 2.63

***

The following is a PBEsol calculation of a relaxed As5Pt4 crystal, from the Alexandria database.

D(E_F) = 0.43 states/eV/atom
formation enthalpy at 0 K = 0.126 eV/atom
spin magnetization = 0.00 μB per formula unit

Cell lengths 4.4269, 6.1966, 6.1966 Å; angles 82.67, 69.07, 69.07 degrees
With the nearest neighbours (Å) after each atom.
Positions (direct):
As  0.6765  0.0000  0.6471  6 Pt 2.65-2.92, 4 As 2.79-2.89
As  0.3235  0.3529  0.0000  6 Pt 2.65-2.92, 4 As 2.79-2.89
Pt  0.0000  0.6730  0.3270  7 As 2.65-2.92, 1 Pt 2.83
As  0.0000  0.0000  0.0000  4 Pt 2.68
Pt  0.6730  0.3270  0.3270  7 As 2.65-2.92, 1 Pt 2.83
Pt  0.3270  0.6730  0.6730  7 As 2.65-2.92, 1 Pt 2.83
Pt  0.0000  0.3270  0.6730  7 As 2.65-2.92, 1 Pt 2.83
As  0.6765  0.6471  0.0000  6 Pt 2.65-2.92, 4 As 2.79-2.89
As  0.3235  0.0000  0.3529  6 Pt 2.65-2.92, 4 As 2.79-2.89

***

The following is a PBEsol calculation of a relaxed AsPt2 crystal, from the Alexandria database.

D(E_F) = 0.51 states/eV/atom
formation enthalpy at 0 K = -0.042 eV/atom
spin magnetization = 0.00 μB per formula unit

Cell lengths 2.8640, 3.5314, 5.1262 Å; angles 110.15, 106.22, 90.00 degrees
With the nearest neighbours (Å) after each atom.
Positions (direct):
Pt  0.6570  0.6570  0.3139  4 As 2.69, 7 Pt 2.84-2.88
As  0.0000  0.0000  0.0000  8 Pt 2.69, 2 As 2.86
Pt  0.3430  0.3430  0.6861  4 As 2.69, 7 Pt 2.84-2.88

***

The following is a PBEsol calculation of a relaxed AsPt2 crystal, from the Alexandria database.

D(E_F) = 0.31 states/eV/atom
formation enthalpy at 0 K = -0.168 eV/atom
spin magnetization = 0.00 μB per formula unit

Cell lengths 3.8126, 3.8126, 3.9150 Å; angles 90.00, 90.00, 120.00 degrees
With the nearest neighbours (Å) after each atom.
Positions (direct):
As  0.0000  0.0000  0.0000  6 Pt 2.50
Pt  0.6667  0.3333  0.6996  3 As 2.50, 3 Pt 2.70
Pt  0.3333  0.6667  0.3004  3 As 2.50, 3 Pt 2.70

***

The following is a PBEsol calculation of a relaxed AsPt2 crystal, from the Alexandria database.

D(E_F) = 0.50 states/eV/atom
formation enthalpy at 0 K = -0.165 eV/atom
spin magnetization = 0.00 μB per formula unit

Cell lengths 3.4335, 5.4579, 5.9394 Å; angles 112.53, 90.00, 108.33 degrees
With the nearest neighbours (Å) after each atom.
Positions (direct):
As  0.8161  0.6322  0.8596  4 Pt 2.36-2.50
Pt  0.5676  0.1353  0.8269  3 As 2.46-2.50
Pt  0.1319  0.2639  0.4929  1 As 2.36
As  0.1839  0.3678  0.1404  4 Pt 2.36-2.50
Pt  0.4324  0.8647  0.1731  3 As 2.46-2.50
Pt  0.8681  0.7361  0.5071  1 As 2.36

***

The following is a PBEsol calculation of a relaxed AsPt3 crystal, from the Alexandria database.

D(E_F) = 0.66 states/eV/atom
formation enthalpy at 0 K = -0.051 eV/atom
spin magnetization = 0.00 μB per formula unit

Cell lengths 3.3002, 4.2215, 5.1750 Å; angles 114.07, 108.59, 90.00 degrees
With the nearest neighbours (Å) after each atom.
Positions (direct):
Pt  0.2809  0.2809  0.5618  2 As 2.55, 4 Pt 2.73
Pt  0.5000  0.0000  0.0000  4 As 2.68, 8 Pt 2.87-2.98
As  0.0000  0.5000  0.0000  8 Pt 2.55-2.68
Pt  0.7191  0.7191  0.4382  2 As 2.55, 4 Pt 2.73

***

The following is a PBEsol calculation of a relaxed As3Pt crystal, from the Alexandria database.

D(E_F) = 0.64 states/eV/atom
formation enthalpy at 0 K = 0.927 eV/atom
distance to the lowest polymorph of the same formula = 1.014 eV per atom
spin magnetization = 0.00 μB per formula unit

Cell lengths 4.9058, 4.9058, 4.9058 Å; angles 90.00, 90.00, 90.00 degrees
With the nearest neighbours (Å) after each atom.
Positions (direct):
As  0.0000  0.5000  0.0000  2 Pt 2.45
Pt  0.0000  0.0000  0.0000  6 As 2.45
As  0.0000  0.0000  0.5000  2 Pt 2.45
As  0.5000  0.0000  0.0000  2 Pt 2.45

***

The following is a PBEsol calculation of a relaxed AsPt crystal, from the Alexandria database.

D(E_F) = 0.40 states/eV/atom
formation enthalpy at 0 K = -0.152 eV/atom
spin magnetization = 0.00 μB per formula unit

Cell lengths 3.6833, 5.2408, 6.1709 Å; angles 107.62, 90.00, 110.57 degrees
With the nearest neighbours (Å) after each atom.
Positions (direct):
Pt  0.6026  0.2053  0.4023  5 As 2.49-2.63
Pt  0.3440  0.6880  0.9681  5 As 2.49-2.59
As  0.6670  0.3340  0.8268  3 Pt 2.49
As  0.0392  0.0783  0.0868  5 Pt 2.56-2.61
As  0.3034  0.6067  0.5439  5 Pt 2.47-2.63
Pt  0.8772  0.7543  0.3387  3 As 2.47-2.56

***

The following is a PBEsol calculation of a relaxed As3Pt crystal, from the Alexandria database.

D(E_F) = 0.48 states/eV/atom
formation enthalpy at 0 K = 0.150 eV/atom
distance to the lowest polymorph of the same formula = 0.237 eV per atom
spin magnetization = 0.00 μB per formula unit

Cell lengths 2.8565, 2.8565, 8.7660 Å; angles 90.00, 90.00, 90.00 degrees
With the nearest neighbours (Å) after each atom.
Positions (direct):
As  0.0000  0.0000  0.2108  4 Pt 2.74, 4 As 2.86
As  0.0000  0.0000  0.7892  4 Pt 2.74, 4 As 2.86
As  0.5000  0.5000  0.5000  4 As 2.86
Pt  0.5000  0.5000  0.0000  8 As 2.74, 4 Pt 2.86

***

The following is a PBEsol calculation of a relaxed As3Pt crystal, from the Alexandria database.

D(E_F) = 0.48 states/eV/atom
formation enthalpy at 0 K = 0.237 eV/atom
distance to the lowest polymorph of the same formula = 0.324 eV per atom
spin magnetization = 0.00 μB per formula unit

Cell lengths 4.4662, 4.4662, 7.5654 Å; angles 107.17, 107.17, 90.00 degrees
With the nearest neighbours (Å) after each atom.
Positions (direct):
As  0.1097  0.1097  0.2194  9 As 2.69-3.02
Pt  0.3648  0.3648  0.7295  8 As 2.73-2.91
As  0.5000  0.0000  0.0000  4 As 2.69, 4 Pt 2.91
As  0.0000  0.5000  0.0000  4 As 2.69, 4 Pt 2.91
As  0.8903  0.8903  0.7806  9 As 2.69-3.02
As  0.7500  0.2500  0.5000  4 Pt 2.73, 4 As 2.95
Pt  0.6352  0.6352  0.2705  8 As 2.73-2.91
As  0.2500  0.7500  0.5000  4 Pt 2.73, 4 As 2.95

***

The following is a PBEsol calculation of a relaxed AsPt3 crystal, from the Alexandria database.

D(E_F) = 0.47 states/eV/atom
formation enthalpy at 0 K = -0.106 eV/atom
spin magnetization = 0.00 μB per formula unit

Cell lengths 4.7888, 6.0057, 8.6262 Å; angles 90.00, 90.00, 90.00 degrees
With the nearest neighbours (Å) after each atom.
Positions (direct):
As  0.9099  0.5683  0.2500  6 Pt 2.46-2.71
As  0.4099  0.9317  0.2500  6 Pt 2.46-2.71
Pt  0.7644  0.3640  0.5332  2 As 2.47-2.71, 3 Pt 2.74-2.76
Pt  0.2356  0.6360  0.4668  2 As 2.47-2.71, 3 Pt 2.74-2.76
Pt  0.4675  0.3596  0.2500  2 As 2.46-2.58, 4 Pt 2.73-2.74
As  0.5901  0.0683  0.7500  6 Pt 2.46-2.71
Pt  0.5325  0.6404  0.7500  2 As 2.46-2.58, 4 Pt 2.73-2.74
Pt  0.2644  0.1360  0.9668  2 As 2.47-2.71, 3 Pt 2.74-2.76
Pt  0.2644  0.1360  0.5332  2 As 2.47-2.71, 3 Pt 2.74-2.76
As  0.0901  0.4317  0.7500  6 Pt 2.46-2.71
Pt  0.9675  0.1404  0.2500  2 As 2.46-2.58, 4 Pt 2.73-2.74
Pt  0.0325  0.8596  0.7500  2 As 2.46-2.58, 4 Pt 2.73-2.74
Pt  0.2356  0.6360  0.0332  2 As 2.47-2.71, 3 Pt 2.74-2.76
Pt  0.7356  0.8640  0.4668  2 As 2.47-2.71, 3 Pt 2.74-2.76
Pt  0.7356  0.8640  0.0332  2 As 2.47-2.71, 3 Pt 2.74-2.76
Pt  0.7644  0.3640  0.9668  2 As 2.47-2.71, 3 Pt 2.74-2.76

***

The following is a PBEsol calculation of a relaxed Rb2SrAsPt crystal, from the Alexandria database.

D(E_F) = 0.45 states/eV/atom
formation enthalpy at 0 K = 0.035 eV/atom
spin magnetization = 0.00 μB per formula unit

Cell lengths 4.5878, 6.6865, 6.6865 Å; angles 90.00, 90.00, 90.00 degrees
With the nearest neighbours (Å) after each atom.
Positions (direct):
Pt  0.5000  0.0000  0.0000  2 As 2.29
Rb  0.0000  0.0000  0.5000  2 As 3.34
Rb  0.0000  0.5000  0.0000  2 As 3.34
As  0.0000  0.0000  0.0000  2 Pt 2.29
Sr  0.5000  0.5000  0.5000  8 Rb 4.05